KMn2: optimized geometry, PBE-GGA.

Structure (extended XYZ):
```
6
Lattice="2.8769 0.0000 0.0000 0.0000 8.8188 0.0000 0.0000 0.0000 6.1569" Properties=species:S:1:pos:R:3 pbc="T T T"
K 0.0000 0.0000 0.0000
K 1.4385 4.4094 3.0785
Mn 0.7115 3.2873 0.0000
Mn 0.7269 7.6967 3.0785
Mn 2.1500 1.1221 3.0785
Mn 2.1654 5.5315 0.0000
```

Computed properties:
* total magnetic moment: 2.701 μB per atom
* uncorrected energy: -5.29 eV/atom